Y5Ho3S8 PBE-GGA relaxed; uncorrected formation energy = -1.98 eV/atom; magnetic moment = 0.00 μB/cell
1.0
6.7774 0.0000 3.8821
2.2769 6.3835 3.8821
0.0246 0.0174 7.8141
Y S Ho
5 8 3
direct
0.5000 0.0000 0.0000
0.0000 0.5000 0.0000
0.5000 0.5000 0.0000
0.0000 0.0000 0.0000
0.5000 0.5000 0.5000
0.7524 0.2500 0.7476
0.2500 0.2500 0.7476
0.7500 0.7500 0.2524
0.7511 0.7511 0.7466
0.2476 0.7500 0.2524
0.7500 0.2476 0.2524
0.2500 0.7524 0.7476
0.2489 0.2489 0.2534
0.0000 0.5000 0.5000
0.5000 0.0000 0.5000
0.0000 0.0000 0.5000

Zn2TcAs PBE-GGA relaxed; raw total energy = -3.99 eV per atom; magnetic moment = 3.02 μB/cell
1.0
-4.3125 -4.9366 3.3138
4.4388 -5.3968 -2.2631
1.3980 -4.9393 2.6012
Zn As Tc
4 2 2
direct
0.6180 0.1250 0.2500
0.1320 0.6250 0.2500
0.3750 0.3820 0.7500
0.8750 0.8680 0.7500
0.2500 0.7500 0.5000
0.5000 0.5000 0.0000
0.7500 0.2500 0.5000
0.0000 0.0000 0.0000